A) This record from OQMD describes PmHoB4 after structural relaxation. The functional is PBE.

The structure in POSCAR format:
```
PmHoB4
1.0
3.3045 0.0000 0.0000
-1.6523 2.8618 0.0000
0.0000 0.0000 7.9154
B Pm Ho
4 1 1
Cartesian
0.0000 1.9079 1.8952
1.6523 0.9539 6.0202
0.0000 1.9079 6.0202
1.6523 0.9539 1.8952
0.0000 0.0000 3.9577
0.0000 0.0000 0.0000
```

**Total magnetization**: 0.0 μB per formula unit
**Mass density**: 7.835 Mg/m³



B) This record from OQMD describes PmHoB4 after structural relaxation. The functional is PBE.

The structure in POSCAR format:
```
PmHoB4
1.0
-1.6550 2.8691 3.9543
1.6550 -2.8691 3.9543
1.6550 2.8691 -3.9543
B Ho Pm
4 1 1
Cartesian
0.0000 3.8249 1.9896
1.6550 0.9558 1.9647
0.0000 1.9134 1.9896
1.6550 -0.9558 1.9647
0.0000 0.0000 0.0000
0.0000 0.0000 3.9543
```

**Total magnetization**: 0.0 μB per formula unit
**Mass density**: 7.808 Mg/m³



Stability comparison, relative energies in eV/atom: A) 0.000; B) 0.018